No. 1
Computed, not measured: a relaxed KTlH crystal at the PBE level of DFT.

Output
**Space group**: P3m1
**Total energy**: -2.1173 eV/atom

Geometry as POSCAR:
```
KTlH
1.0
6.1438 0.0000 0.0000
0.0000 3.7822 0.0000
0.0000 -1.8911 3.2755
H Tl K
1 1 1
Cartesian
6.0496 0.0000 0.0000
1.6080 0.0000 2.1837
4.6301 1.8911 1.0918
```



No. 2
Computed, not measured: a relaxed K2TlH2 crystal at the PBE level of DFT.

Output
**Space group**: P4/mbm
**Total energy**: -2.2368 eV/atom

Geometry as POSCAR:
```
K2TlH2
1.0
7.8502 0.0000 0.0000
0.0000 7.8502 0.0000
0.0000 0.0000 3.7311
H Tl K
4 2 4
Cartesian
2.6908 6.6159 0.0000
6.6159 5.1593 0.0000
5.1593 1.2342 0.0000
1.2342 2.6908 0.0000
0.0000 0.0000 0.0000
3.9251 3.9251 0.0000
1.1721 5.0972 1.8655
5.0972 6.6781 1.8655
6.6781 2.7530 1.8655
2.7530 1.1721 1.8655
```



No. 3
Computed, not measured: a relaxed K2TlH crystal at the PBE level of DFT.

Output
**Excess energy over the best structure of this formula in the dataset**: 400 meV/atom
**Space group**: Fm-3m

Geometry as POSCAR:
```
K2TlH
1.0
0.0000 4.1311 4.1311
4.1311 0.0000 4.1311
4.1311 4.1311 0.0000
H Tl K
1 1 2
Cartesian
0.0000 0.0000 0.0000
4.1311 4.1311 4.1311
2.0655 2.0655 2.0655
6.1966 6.1966 6.1966
```



No. 4
Computed, not measured: a relaxed K2TlH crystal at the PBE level of DFT.

Output
**Excess energy over the best structure of this formula in the dataset**: 0 meV/atom
**Space group**: R3m

Geometry as POSCAR:
```
K2TlH
1.0
3.8664 0.0000 0.0000
1.9332 3.3484 0.0000
1.9332 1.1161 9.3752
K Tl H
2 1 1
Cartesian
1.9332 1.1161 7.6961
1.9332 1.1161 1.6738
3.8664 2.2322 4.6938
5.7995 3.3484 9.3744
```



No. 5
Computed, not measured: a relaxed KTl3H8 crystal at the PBE level of DFT.

Output
**Space group**: P1
**Total energy**: -2.9258 eV/atom

Geometry as POSCAR:
```
KTl3H8
1.0
6.0709 -4.7904 5.5000
-4.5981 8.1304 -1.5786
2.8447 -3.9850 9.6663
K Tl H
1 3 8
Cartesian
-0.5619 4.3232 2.1737
3.7405 -2.5746 10.1210
1.2084 1.2319 4.1338
0.1066 3.5083 6.2672
-2.7731 5.5136 3.6607
2.3216 -0.3780 6.7940
-2.2643 4.0958 -0.6810
2.3937 -1.7275 2.5457
1.6426 -1.9216 4.9839
2.6212 -0.8333 7.3278
1.0645 -0.4094 9.2580
5.8780 -5.5223 11.8604
```



No. 6
Computed, not measured: a relaxed K2TlH crystal at the PBE level of DFT.

Output
**Excess energy over the best structure of this formula in the dataset**: 119 meV/atom
**Space group**: I-42d

Geometry as POSCAR:
```
K2TlH
1.0
7.9438 0.0000 0.0000
0.0000 7.9438 0.0000
3.9719 3.9719 4.5594
H Tl K
2 2 4
Cartesian
3.9719 3.9719 0.0000
3.9719 7.9438 2.2797
0.0000 0.0000 0.0000
7.9438 3.9719 2.2797
5.0422 1.9859 1.1399
2.9016 5.9578 1.1399
5.9578 6.8735 3.4196
9.9297 9.0141 3.4196
```



No. 7
Computed, not measured: a relaxed KTlV2H crystal at the PBE level of DFT.

Output
**Space group**: P4/mmm
**Total energy**: -2.6007 eV/atom

Geometry as POSCAR:
```
KTlV2H
1.0
-2.6366 -0.7506 4.7836
-2.0542 -5.7265 -2.0308
4.5087 -2.3670 2.1137
H Tl K V
1 1 1 2
Cartesian
-0.0911 -4.4220 2.4333
-1.0271 -2.8632 -1.0154
0.0000 0.0000 0.0000
2.2543 -1.1835 1.0568
-1.3183 -0.3753 2.3918
```



No. 8
Computed, not measured: a relaxed K2TmH6 crystal at the PBE level of DFT.

Output
**Space group**: Fm-3m
**Total energy**: -2.8770 eV/atom

Geometry as POSCAR:
```
K2TmH6
1.0
5.2753 0.0000 3.0457
1.7584 4.9736 3.0457
0.0000 0.0000 6.0914
H K Tm
6 2 1
Cartesian
2.6154 3.7616 4.5300
4.4183 1.2119 4.5300
2.6154 3.7616 7.6527
4.4183 1.2119 7.6527
5.3198 3.7616 6.0914
1.7139 1.2119 6.0914
5.2753 3.7302 9.1370
1.7584 1.2434 3.0457
0.0000 0.0000 0.0000
```



| no. | total magnetic moment (μB/cell) |
| --- | --- |
| 1 | 0.00 |
| 2 | 0.00 |
| 3 | 0.00 |
| 4 | 0.00 |
| 5 | 0.00 |
| 6 | 0.00 |
| 7 | 9.05 |
| 8 | 1.04 |